A plane-wave DFT calculation with PBE-GGA was carried out for a relaxed RbLuCdSe3 crystal.

Values from the calculation:
Distance to the lowest polymorph of the same formula = 0.0009 eV/atom

Cell and atoms, written as CIF:
```
data_RbLuCdSe3
_chemical_formula_sum 'Rb4 Lu4 Cd4 Se12'
_symmetry_space_group_name_H-M 'P -1'
_symmetry_Int_Tables_number 2
_cell_length_a 4.2079
_cell_length_b 11.0395
_cell_length_c 15.5037
_cell_angle_alpha 89.96
_cell_angle_beta 89.96
_cell_angle_gamma 90.00
loop_
_symmetry_equiv_pos_as_xyz
'x,y,z'
'-x,-y,-z'
loop_
_atom_site_label
_atom_site_type_symbol
_atom_site_fract_x
_atom_site_fract_y
_atom_site_fract_z
Rb1 Rb 0.2501 0.2362 0.0022
Rb2 Rb 0.2499 0.7360 0.4976
Lu1 Lu 0.2502 0.4886 0.7542
Lu2 Lu 0.2502 0.9886 0.7457
Cd1 Cd 0.2495 0.7612 0.2108
Cd2 Cd 0.2502 0.2606 0.2891
Se1 Se 0.2498 0.0575 0.3749
Se2 Se 0.2503 0.2384 0.6829
Se3 Se 0.2498 0.4697 0.3676
Se4 Se 0.2498 0.5573 0.1250
Se5 Se 0.2501 0.7383 0.8171
Se6 Se 0.2498 0.9696 0.1325
```

---

A plane-wave DFT calculation with PBE-GGA was carried out for a relaxed RbLuCdSe3 crystal.

Values from the calculation:
Distance to the lowest polymorph of the same formula = 0.0726 eV/atom

Cell and atoms, written as CIF:
```
data_RbLuCdSe3
_chemical_formula_sum 'Rb4 Lu4 Cd4 Se12'
_symmetry_space_group_name_H-M 'P n m a'
_symmetry_Int_Tables_number 62
_cell_length_a 10.4156
_cell_length_b 4.2486
_cell_length_c 15.9688
_cell_angle_alpha 90.00
_cell_angle_beta 90.00
_cell_angle_gamma 90.00
loop_
_symmetry_equiv_pos_as_xyz
'x,y,z'
'-x,-y,-z'
'-x+1/2,-y,z+1/2'
'x+1/2,y,-z+1/2'
'x+1/2,-y+1/2,-z+1/2'
'-x+1/2,y+1/2,z+1/2'
'-x,y+1/2,-z'
'x,-y+1/2,z'
loop_
_atom_site_label
_atom_site_type_symbol
_atom_site_fract_x
_atom_site_fract_y
_atom_site_fract_z
Rb1 Rb 0.0316 0.2500 0.1772
Lu1 Lu 0.1770 0.7500 0.4483
Cd1 Cd 0.1603 0.2500 0.6408
Se1 Se 0.0090 0.7500 0.5950
Se2 Se 0.1766 0.7500 0.0135
Se3 Se 0.2292 0.2500 0.7944
```

---

A plane-wave DFT calculation with PBE-GGA was carried out for a relaxed RbLuCdSe3 crystal.

Values from the calculation:
Distance to the lowest polymorph of the same formula = 0.0042 eV/atom

Cell and atoms, written as CIF:
```
data_RbLuCdSe3
_chemical_formula_sum 'Rb4 Lu4 Cd4 Se12'
_symmetry_space_group_name_H-M 'P n m a'
_symmetry_Int_Tables_number 62
_cell_length_a 15.5274
_cell_length_b 4.2118
_cell_length_c 11.1911
_cell_angle_alpha 90.00
_cell_angle_beta 90.00
_cell_angle_gamma 90.00
loop_
_symmetry_equiv_pos_as_xyz
'x,y,z'
'-x,-y,-z'
'-x+1/2,-y,z+1/2'
'x+1/2,y,-z+1/2'
'x+1/2,-y+1/2,-z+1/2'
'-x+1/2,y+1/2,z+1/2'
'-x,y+1/2,-z'
'x,-y+1/2,z'
loop_
_atom_site_label
_atom_site_type_symbol
_atom_site_fract_x
_atom_site_fract_y
_atom_site_fract_z
Rb1 Rb 0.2383 0.2500 0.0492
Lu1 Lu 0.0230 0.2500 0.3536
Cd1 Cd 0.0178 0.7500 0.1024
Se1 Se 0.0881 0.7500 0.8726
Se2 Se 0.0887 0.2500 0.5806
Se3 Se 0.1345 0.7500 0.2701
```

---

A plane-wave DFT calculation with PBE-GGA was carried out for a relaxed RbLuCdSe3 crystal.

Values from the calculation:
Distance to the lowest polymorph of the same formula = 0.0058 eV/atom

Cell and atoms, written as CIF:
```
data_RbLuCdSe3
_chemical_formula_sum 'Rb2 Lu2 Cd2 Se6'
_symmetry_space_group_name_H-M 'P 1 21/m 1'
_symmetry_Int_Tables_number 11
_cell_length_a 8.9274
_cell_length_b 4.2193
_cell_length_c 10.5770
_cell_angle_alpha 90.00
_cell_angle_beta 110.26
_cell_angle_gamma 90.00
loop_
_symmetry_equiv_pos_as_xyz
'x,y,z'
'-x,-y,-z'
'-x,y+1/2,-z'
'x,-y+1/2,z'
loop_
_atom_site_label
_atom_site_type_symbol
_atom_site_fract_x
_atom_site_fract_y
_atom_site_fract_z
Rb1 Rb 0.2379 0.2500 0.2574
Lu1 Lu 0.3264 0.7500 0.8699
Cd1 Cd 0.0824 0.2500 0.6150
Se1 Se 0.1067 0.2500 0.8678
Se2 Se 0.2364 0.7500 0.5603
Se3 Se 0.4688 0.7500 0.1447
```